No. 1
! In2CuSn2 (PBE, relaxed); values from VASP
! space group: P4/mbm, No. 127
! magnetization: 0.00 μB per cell
! energy above the lowest structure with this stoichiometry: 0.000 eV/atom
&SYSTEM
  ibrav = 0, nat = 10, ntyp = 3
/
ATOMIC_SPECIES
In 114.82 In.upf
Cu 63.55 Cu.upf
Sn 118.71 Sn.upf
ATOMIC_POSITIONS crystal
In 0.1701 0.3299 0.0000
In 0.3299 0.8299 0.0000
In 0.6701 0.1701 0.0000
In 0.8299 0.6701 0.0000
Cu 0.0000 0.0000 0.5000
Cu 0.5000 0.5000 0.5000
Sn 0.1530 0.6530 0.5000
Sn 0.3470 0.1530 0.5000
Sn 0.6530 0.8470 0.5000
Sn 0.8470 0.3470 0.5000
CELL_PARAMETERS angstrom
6.9245 0.0000 0.0000
0.0000 6.9245 0.0000
0.0000 0.0000 5.3672


No. 2
! Mg2GaPd4 (PBE, relaxed); values from VASP
! space group: I4/mmm, No. 139
! magnetization: 0.00 μB per cell
! energy above the lowest structure with this stoichiometry: 0.000 eV/atom
&SYSTEM
  ibrav = 0, nat = 14, ntyp = 3
/
ATOMIC_SPECIES
Mg 24.30 Mg.upf
Ga 69.72 Ga.upf
Pd 106.42 Pd.upf
ATOMIC_POSITIONS crystal
Mg 0.0000 0.5000 0.0000
Mg 0.0000 0.5000 0.5000
Mg 0.5000 0.0000 0.0000
Mg 0.5000 0.0000 0.5000
Ga 0.0000 0.0000 0.0000
Ga 0.5000 0.5000 0.5000
Pd 0.2500 0.2500 0.2500
Pd 0.2500 0.2500 0.7500
Pd 0.2500 0.7500 0.2500
Pd 0.2500 0.7500 0.7500
Pd 0.7500 0.2500 0.2500
Pd 0.7500 0.2500 0.7500
Pd 0.7500 0.7500 0.2500
Pd 0.7500 0.7500 0.7500
CELL_PARAMETERS angstrom
5.9019 0.0000 0.0000
0.0000 5.9019 0.0000
0.0000 0.0000 6.6572


No. 3
! ZrCr2As (PBE, relaxed); values from VASP
! space group: R3m, No. 160
! magnetization: 0.11 μB per cell
&SYSTEM
  ibrav = 0, nat = 12, ntyp = 3
/
ATOMIC_SPECIES
Zr 91.22 Zr.upf
Cr 52.00 Cr.upf
As 74.92 As.upf
ATOMIC_POSITIONS crystal
Zr 0.0000 0.0000 0.0000
Zr 0.3333 0.6667 0.6667
Zr 0.6667 0.3333 0.3333
Cr 0.0000 0.0000 0.2412
Cr 0.0000 0.0000 0.5093
Cr 0.3333 0.6667 0.1759
Cr 0.3333 0.6667 0.9079
Cr 0.6667 0.3333 0.5745
Cr 0.6667 0.3333 0.8426
As 0.0000 0.0000 0.7651
As 0.3333 0.6667 0.4318
As 0.6667 0.3333 0.0985
CELL_PARAMETERS angstrom
3.0506 0.0000 0.0000
-1.5253 2.6419 0.0000
0.0000 0.0000 23.6884


No. 4
! CeThCuRu (PBE, relaxed); values from VASP
! space group: F-43m, No. 216
! magnetization: 0.62 μB per cell
&SYSTEM
  ibrav = 0, nat = 16, ntyp = 4
/
ATOMIC_SPECIES
Ce 140.12 Ce.upf
Th 232.04 Th.upf
Cu 63.55 Cu.upf
Ru 101.07 Ru.upf
ATOMIC_POSITIONS crystal
Ce 0.0000 0.0000 0.0000
Ce 0.0000 0.5000 0.5000
Ce 0.5000 0.0000 0.5000
Ce 0.5000 0.5000 0.0000
Th 0.0000 0.0000 0.5000
Th 0.0000 0.5000 0.0000
Th 0.5000 0.0000 0.0000
Th 0.5000 0.5000 0.5000
Cu 0.2500 0.2500 0.7500
Cu 0.2500 0.7500 0.2500
Cu 0.7500 0.2500 0.2500
Cu 0.7500 0.7500 0.7500
Ru 0.2500 0.2500 0.2500
Ru 0.2500 0.7500 0.7500
Ru 0.7500 0.2500 0.7500
Ru 0.7500 0.7500 0.2500
CELL_PARAMETERS angstrom
7.0423 0.0000 0.0000
0.0000 7.0423 0.0000
0.0000 0.0000 7.0423


| no. | DFT total energy (eV per atom) |
| --- | --- |
| 1 | -3.40 |
| 2 | -4.40 |
| 3 | -7.90 |
| 4 | -6.89 |